Entry 1:
Entry from the Alexandria database: a relaxed TlFeSn2Hg crystal (PBE).

Its formation energy is 0.15 eV per atom. The calculation puts the energy at -18.38 eV per formula unit. The calculated density comes out at 8.98 g cm⁻³. As for the crystal system: tetragonal. The distance to the lowest polymorph of the same formula comes out at 23.4 meV per atom.

The structure belongs to space group P4/mmm (No. 123); the cell edges are 4.952, 4.952 and 5.267 Å and the angles 90.00°, 90.00° and 90.00°. Symmetry generates all atoms from Tl at (0.000, 0.000, 0.000), Fe at (0.500, 0.500, 0.500), Sn at (0.000, 0.500, 0.500) and Hg at (0.500, 0.500, 0.000).


Entry 2:
Entry from the Alexandria database: a relaxed ScSbPCl2 crystal (PBE).

As for the uncorrected formation energy: 0.07 eV/atom. The calculation puts the energy at -19.21 eV per formula unit. The calculated density comes out at 3.15 g cm⁻³. As for the crystal system: tetragonal. The distance to the lowest polymorph of the same formula comes out at 702.2 meV per atom.

The structure belongs to space group P4/mmm (No. 123); the cell edges are 5.178, 5.178 and 5.277 Å and the angles 90.00°, 90.00° and 90.00°. Symmetry generates all atoms from Sc at (0.000, 0.000, 0.000), Sb at (0.500, 0.500, 0.500), P at (0.500, 0.500, 0.000) and Cl at (0.000, 0.500, 0.500).


Entry 3:
Entry from the Alexandria database: a relaxed La2AlNi2 crystal (PBE).

Its formation energy is -0.15 eV per atom. The calculation puts the energy at -25.89 eV per formula unit. The calculated density comes out at 6.22 g cm⁻³. As for the crystal system: tetragonal.

The structure belongs to space group I4/mmm (No. 139); the cell edges are 3.546, 3.546 and 17.914 Å and the angles 90.00°, 90.00° and 90.00°. Symmetry generates all atoms from La at (0.000, 0.000, 0.124), Al at (0.000, 0.000, 0.500) and Ni at (0.000, 0.500, 0.250).